[1]
A plane-wave DFT calculation with PBE was carried out for an optimized crystal structure of LaPrCoRu.

Cell: 7.0804 7.0804 7.0804 Å, 90.00 90.00 90.00°
With the nearest neighbours (Å) after each atom.
Space group F-43m (No. 216)
One atom of each set of equivalent atoms:
La 0.0000 0.0000 0.0000 x4  4 Co 3.07, 4 Ru 3.07
Pr 0.0000 0.0000 0.5000 x4  4 Co 3.07, 4 Ru 3.07
Co 0.2500 0.2500 0.2500 x4  4 La 3.07, 4 Pr 3.07
Ru 0.2500 0.2500 0.7500 x4  4 La 3.07, 4 Pr 3.07

Mass density in Mg/m³: 8.2
Raw total energy in eV/atom: -6.4989

=====

[2]
A plane-wave DFT calculation with PBE was carried out for an optimized crystal structure of LaTbPrCo.

Cell: 3.7864 3.7907 9.5774 Å, 89.97 89.98 60.45°
With the nearest neighbours (Å) after each atom.
Space group P1 (No. 1)
One atom of each set of equivalent atoms:
La 0.0000 0.0000 0.0000 x1  3 Tb 3.72-3.73, 6 La 3.79-3.81, 3 Pr 3.86-3.88
Tb 0.3366 0.3388 0.6860 x1  3 Co 2.74
Pr 0.3367 0.3394 0.3326 x1  3 Co 2.80-2.81
Co 0.0014 0.0026 0.5145 x1  3 Tb 2.74, 3 Pr 2.80-2.81

Mass density in Mg/m³: 6.9
Raw total energy in eV/atom: -5.2686

=====

[3]
A plane-wave DFT calculation with PBE was carried out for an optimized crystal structure of La3PrTlCo.

Cell: 17.3165 7.2076 6.1810 Å, 90.00 110.03 90.00°
With the nearest neighbours (Å) after each atom.
Space group C2/m (No. 12)
One atom of each set of equivalent atoms:
La 0.1182 0.2447 0.1136 x8  1 Co 2.58
La 0.1944 0.5000 0.7033 x4  1 Co 3.23, 2 La 3.52, 3 Tl 3.56-3.60
Pr 0.0000 0.2398 0.5000 x4  2 Co 2.76
Tl 0.1926 0.0000 0.6944 x4  10 La 3.56-3.81, 2 Pr 3.58
Co 0.0318 0.5000 0.8480 x4  1 Co 2.48, 2 La 2.58, 2 Pr 2.76

Mass density in Mg/m³: 7.5
Raw total energy in eV/atom: -5.0461

=====

[4]
A plane-wave DFT calculation with PBE was carried out for an optimized crystal structure of La3Pr3Zn2Co.

Cell: 8.7459 8.7459 3.7987 Å, 90.00 90.00 120.00°
With the nearest neighbours (Å) after each atom.
Space group P-62m (No. 189)
One atom of each set of equivalent atoms:
La 0.0000 0.7641 0.0000 x3  2 Co 2.80
Pr 0.0000 0.4109 0.5000 x3  4 Zn 3.25, 1 Co 3.59, 2 La 3.63
Zn 0.3333 0.6667 0.0000 x2  6 Pr 3.25, 3 La 3.42
Co 0.0000 0.0000 0.5000 x1  6 La 2.80

Mass density in Mg/m³: 6.8
Raw total energy in eV/atom: -4.4712

=====

[5]
A plane-wave DFT calculation with PBE was carried out for an optimized crystal structure of LaCo2Pt.

Cell: 4.3746 4.3746 17.6677 Å, 90.00 90.00 90.00°
With the nearest neighbours (Å) after each atom.
Space group I-42d (No. 122)
One atom of each set of equivalent atoms:
La 0.0000 0.0000 0.0000 x4  4 Pt 3.09, 8 Co 3.18-3.42
Co 0.0405 0.2500 0.6250 x8  2 Co 2.22, 2 Pt 2.47
Pt 0.0000 0.0000 0.5000 x4  4 Co 2.47

Mass density in Mg/m³: 8.9
Raw total energy in eV/atom: -6.4061

=====

[6]
A plane-wave DFT calculation with PBE was carried out for an optimized crystal structure of LaCo2Pt.

Cell: 6.6090 6.6090 6.6090 Å, 90.00 90.00 90.00°
With the nearest neighbours (Å) after each atom.
Space group F-43m (No. 216)
One atom of each set of equivalent atoms:
La 0.0000 0.0000 0.0000 x4  4 Co 2.86, 4 Pt 2.86
Co 0.0000 0.0000 0.5000 x4  4 Co 2.86, 4 Pt 2.86
Co 0.2500 0.2500 0.2500 x4  4 La 2.86, 4 Co 2.86
Pt 0.2500 0.2500 0.7500 x4  4 La 2.86, 4 Co 2.86

Mass density in Mg/m³: 10.4
Raw total energy in eV/atom: -6.1972